# BaTh2CrN4 PBE-GGA optimized geometry
data_BaTh2CrN4
_chemical_formula_sum 'Ba4 Th8 Cr4 N16'
_cell_length_a 3.663
_cell_length_b 12.492
_cell_length_c 12.247
_cell_angle_alpha 90.00
_cell_angle_beta 90.00
_cell_angle_gamma 90.00
_symmetry_space_group_name_H-M 'C m c m'
_symmetry_Int_Tables_number 63
_symmetry_space_group_name_Hall '-C 2c 2'
loop_
_atom_site_label
_atom_site_fract_x
_atom_site_fract_y
_atom_site_fract_z
Ba1 0.000 0.087 0.250
Th1 0.000 0.367 0.049
Cr1 0.000 0.180 0.750
N1 0.000 0.000 0.000
N2 0.000 0.253 0.615
N3 0.000 0.392 0.250
# - Mass density: 8.41 g/cm³
# - Formation energy without anion corrections: -1130.4 meV/atom